NaGa2Br6 | PBE | relaxed

Properties
As for the symmetry: C2/c, No. 15. The value obtained for the raw formation energy is -880 meV/atom.

extended XYZ file:
```
18
Lattice="-1.8935 3.7372 7.0123 -8.5516 -3.4224 2.5163 3.2349 -5.7229 6.9251" Properties=species:S:1:pos:R:3 pbc="T T T"
Na 1.4971 -4.5418 8.2052
Na -8.7073 -0.8662 8.2484
Ga -3.1557 -5.7179 8.9211
Ga -0.9052 -1.9887 4.8503
Ga -4.0544 0.3098 7.5326
Ga -6.3050 -3.4194 11.6033
Br -4.5222 -3.8026 9.8493
Br -3.7973 0.2949 10.0496
Br -2.6879 -1.6054 6.6043
Br -3.4128 -5.7030 6.4041
Br -8.3016 -2.4013 10.7524
Br -6.3254 0.1247 6.7873
Br 1.0914 -3.0068 5.7013
Br -0.8848 -5.5327 9.6664
Br -4.0447 -7.7754 9.8150
Br -0.2759 0.1196 3.8592
Br -3.1655 2.3674 6.6386
Br -6.9342 -5.5276 12.5944
```